This record from Alexandria describes an optimized crystal structure of Tb6Dy3Mg. The functional is GGA-PBE.

Summary:
Formation energy (meV/atom): 18
Space-group type: P2_1/m, No. 11

Unit cell a=5.007 b=11.111 c=11.175 alpha=90.33 beta=90.00 gamma=90.00
Positions (direct):
Tb1 0.250 0.448 0.102
Tb2 0.750 0.552 0.898
Tb3 0.250 0.150 0.197
Tb4 0.750 0.850 0.803
Tb5 0.250 0.653 0.700
Tb6 0.750 0.347 0.300
Tb7 0.250 0.247 0.499
Tb8 0.750 0.753 0.501
Tb9 0.250 0.851 0.305
Tb10 0.750 0.149 0.695
Tb11 0.250 0.048 0.899
Tb12 0.750 0.952 0.101
Dy1 0.250 0.551 0.400
Dy2 0.750 0.449 0.600
Dy3 0.250 0.349 0.796
Dy4 0.750 0.651 0.204
Dy5 0.250 0.752 0.003
Dy6 0.750 0.248 0.997
Mg1 0.250 0.952 0.598
Mg2 0.750 0.048 0.402

This record from Alexandria describes an optimized crystal structure of Dy2ReWN6. The functional is GGA-PBE.

Summary:
E_form (uncorrected) (meV/atom): -832
Space-group type: P2_1/c, No. 14

Unit cell a=5.429 b=5.636 c=7.758 alpha=90.00 beta=89.85 gamma=90.00
Positions (direct):
Dy1 0.013 0.940 0.250
Dy2 0.513 0.560 0.750
Dy3 0.987 0.060 0.750
Dy4 0.487 0.440 0.250
Re1 0.500 0.000 0.000
Re2 0.000 0.500 0.500
W1 0.500 0.000 0.500
W2 0.000 0.500 0.000
N1 0.300 0.705 0.047
N2 0.800 0.795 0.547
N3 0.700 0.295 0.953
N4 0.200 0.205 0.453
N5 0.297 0.702 0.453
N6 0.797 0.798 0.953
N7 0.703 0.298 0.547
N8 0.203 0.202 0.047
N9 0.913 0.520 0.252
N10 0.413 0.980 0.752
N11 0.087 0.480 0.748
N12 0.587 0.020 0.248

This record from Alexandria describes an optimized crystal structure of EuInPdAu. The functional is GGA-PBE.

Summary:
Formation energy (meV/atom): -572
Space-group type: F-43m, No. 216

Unit cell a=4.991 b=4.991 c=4.991 alpha=60.00 beta=60.00 gamma=60.00
Each line ends with the local moment (μB).
Positions (direct):
Eu1 0.250 0.250 0.250  6.73
Au1 0.000 0.000 0.000  0.00
Pd1 0.500 0.500 0.500  0.00
In1 0.750 0.750 0.750  0.01

This record from Alexandria describes an optimized crystal structure of Ta2RhCl. The functional is GGA-PBE.

Summary:
E_form (uncorrected) (meV/atom): 118
Space-group type: C2/m, No. 12

Unit cell a=4.264 b=4.264 c=5.898 alpha=82.28 beta=82.28 gamma=39.34
Positions (direct):
Cl1 0.750 0.750 0.750
Rh1 0.250 0.250 0.250
Ta1 0.001 0.001 0.000
Ta2 0.499 0.499 0.500

This record from Alexandria describes an optimized crystal structure of Nd4GePbC. The functional is GGA-PBE.

Summary:
Formation energy (meV/atom): -439
Space-group type: Cmcm, No. 63

Unit cell a=7.025 b=7.029 c=8.867 alpha=90.00 beta=113.34 gamma=90.00
Positions (direct):
Nd1 0.920 0.250 0.841
Nd2 0.411 0.750 0.822
Nd3 0.080 0.750 0.159
Nd4 0.589 0.250 0.178
Nd5 0.500 0.500 0.500
Nd6 0.000 0.000 0.500
Nd7 0.500 0.000 0.500
Nd8 0.000 0.500 0.500
Ge1 0.116 0.250 0.232
Ge2 0.884 0.750 0.768
Pb1 0.608 0.750 0.216
Pb2 0.392 0.250 0.784
C1 0.248 0.750 0.497
C2 0.752 0.250 0.503

This record from Alexandria describes an optimized crystal structure of CaDy5Ru4. The functional is GGA-PBE.

Summary:
Formation energy (meV/atom): -301
Space-group type: P4/mmm, No. 123

Unit cell a=3.426 b=3.426 c=19.472 alpha=90.00 beta=90.00 gamma=90.00
Positions (direct):
Ca1 0.000 0.000 0.000
Dy1 0.500 0.500 0.156
Dy2 0.500 0.500 0.328
Dy3 0.500 0.500 0.500
Dy4 0.500 0.500 0.672
Dy5 0.500 0.500 0.844
Ru1 0.000 0.000 0.234
Ru2 0.000 0.000 0.413
Ru3 0.000 0.000 0.587
Ru4 0.000 0.000 0.766

Number 1: raw total energy -4.301 eV/atom. Number 2: raw total energy -9.288 eV/atom. Number 3: raw total energy -5.943 eV/atom. Number 4: raw total energy -8.108 eV/atom. Number 5: raw total energy -5.670 eV/atom. Number 6: raw total energy -6.513 eV/atom.